# 1
The following is a DFT calculation (SCAN) of a PBEsol-optimized structure of Ba2TlRu.

Cell lengths 3.7698, 3.7698, 9.3034 Å; angles 90.00, 90.00, 90.00 degrees
Element x y z (fractional)
Ru: 0.0000 0.0000 0.5757
Ba: 0.5000 0.5000 0.3350
Ba: 0.0000 0.0000 0.9095
Tl: 0.5000 0.5000 0.6798

Properties
**Offset from the most stable computed form**: 0 meV/atom
**Final energy**: -46.352 eV/atom
**N(E_F)**: 0.58 states/eV/atom
**ΔH_f (0 K)**: 0.220 eV per atom
**V**: 132.2 Å³ per cell
**Crystal system**: tetragonal

---

# 2
The following is a DFT calculation (SCAN) of a PBEsol-optimized structure of BaTlRu2.

Cell lengths 3.0826, 3.0826, 10.1933 Å; angles 81.30, 81.30, 60.00 degrees
Element x y z (fractional)
Ba: 0.2570 0.2570 0.2289
Ru: 0.7421 0.7421 0.7736
Ru: 0.0148 0.0148 0.9556
Tl: 0.4860 0.4860 0.5419

Properties
**Offset from the most stable computed form**: 0 meV/atom
**Final energy**: -44.471 eV/atom
**N(E_F)**: 1.31 states/eV/atom
**ΔH_f (0 K)**: 0.920 eV per atom
**V**: 82.6 Å³ per cell
**Crystal system**: trigonal

---

# 3
The following is a DFT calculation (SCAN) of a PBEsol-optimized structure of Ba2TlRu.

Cell lengths 5.3404, 5.3404, 5.3404 Å; angles 60.00, 60.00, 60.00 degrees
Element x y z (fractional)
Ba: 0.7500 0.7500 0.7500
Ru: 0.5000 0.5000 0.5000
Tl: 0.2500 0.2500 0.2500
Ba: 0.0000 0.0000 0.0000

Properties
**Offset from the most stable computed form**: 155 meV/atom
**Final energy**: -46.196 eV/atom
**N(E_F)**: 0.93 states/eV/atom
**ΔH_f (0 K)**: 0.375 eV per atom
**V**: 107.7 Å³ per cell
**Crystal system**: cubic

---

# 4
The following is a DFT calculation (SCAN) of a PBEsol-optimized structure of Ba2TlRu.

Cell lengths 5.5379, 5.5351, 5.5351 Å; angles 59.92, 59.98, 59.98 degrees
Element x y z (fractional)
Tl: 0.0000 0.5000 0.5000
Ru: 0.5000 0.0000 0.0000
Ba: 0.2502 0.7498 0.7498
Ba: 0.7498 0.2502 0.2502

Properties
**Offset from the most stable computed form**: 96 meV/atom
**Final energy**: -46.255 eV/atom
**N(E_F)**: 0.71 states/eV/atom
**ΔH_f (0 K)**: 0.316 eV per atom
**V**: 119.9 Å³ per cell
**Crystal system**: orthorhombic

---

# 5
The following is a DFT calculation (SCAN) of a PBEsol-optimized structure of BaTlRu2.

Cell lengths 4.0443, 4.0443, 5.7367 Å; angles 110.64, 110.64, 90.00 degrees
Element x y z (fractional)
Tl: 0.5000 0.5000 0.0000
Ba: 0.2500 0.7500 0.5000
Ru: 0.7500 0.2500 0.5000
Ru: 0.0000 0.0000 0.0000

Properties
**Offset from the most stable computed form**: 83 meV/atom
**Final energy**: -44.388 eV/atom
**N(E_F)**: 0.76 states/eV/atom
**ΔH_f (0 K)**: 1.002 eV per atom
**V**: 81.3 Å³ per cell
**Crystal system**: tetragonal

---

# 6
The following is a DFT calculation (SCAN) of a PBEsol-optimized structure of Ba2RuW.

Cell lengths 3.2779, 3.3469, 10.0260 Å; angles 90.00, 99.52, 90.00 degrees
Element x y z (fractional)
Ba: 0.8435 0.0000 0.0656
W: 0.4751 0.5000 0.3253
Ru: 0.0280 0.0000 0.4300
Ba: 0.6534 0.5000 0.6792

Properties
**Final energy**: -45.299 eV/atom
**N(E_F)**: 0.83 states/eV/atom
**ΔH_f (0 K)**: 0.605 eV per atom
**V**: 108.5 Å³ per cell
**Crystal system**: monoclinic